Density functional theory data (GGA-PBE) for crystalline Tl2C at its relaxed geometry.

abc: 6.5707 6.5707 5.4880
angles: 90.00 90.00 120.00
Each line ends with the local moment (μB).
Element x y z (fractional)
C 0.3333 0.6667 0.0000  0.16
C 0.0000 0.0000 0.5000  0.14
C 0.6667 0.3333 0.0000  0.16
Tl 0.7046 0.7046 0.0000  0.01
Tl 0.0000 0.6315 0.5000  0.02
Tl 0.3685 0.3685 0.5000  0.02
Tl 0.2954 0.0000 0.0000  0.01
Tl 0.0000 0.2954 0.0000  0.01
Tl 0.6315 0.0000 0.5000  0.02

Output
Theoretical density: 10.22 g cm⁻³
E_tot: -28.5 eV/cell
Calculated volume: 22.8 Å³ per atom
Space-group type: No. 189
DOS at the Fermi energy: 1.5 states/eV/f.u.
E above lowest polymorph: 795.7 meV/atom
Formation energy from the elements: 1482 meV per atom